# 1
A plane-wave DFT calculation with PBE was carried out for SrCdAs2Se after structural relaxation.

Properties
Total DFT energy (no corrections) (eV/atom): -2.4304
DOS(E_F) (states/eV/cell): 5.9
Energy relative to the lowest polymorph listed for this composition (meV per atom): 708
Formation energy (no corrections) (eV/atom): 0.646
Symmetry: P4/mmm

Cell lengths 5.751, 5.751, 5.646 Å; angles 90.00, 90.00, 90.00 degrees
Atoms (fractional coordinates):
Sr  0.000  0.000  0.000
Cd  0.500  0.500  0.500
As  0.000  0.500  0.000
As  0.500  0.000  0.000
Se  0.000  0.000  0.500

# 2
A plane-wave DFT calculation with PBE was carried out for HoScAsS after structural relaxation.

Properties
Total DFT energy (no corrections) (eV/atom): -6.5255
DOS(E_F) (states/eV/cell): 3.0
Formation energy (no corrections) (eV/atom): -1.604
Symmetry: R3m

Cell lengths 7.074, 7.074, 7.074 Å; angles 31.40, 31.40, 31.40 degrees
Atoms (fractional coordinates):
Ho  0.000  0.000  0.000
Sc  0.173  0.173  0.173
As  0.580  0.580  0.580
S  0.758  0.758  0.758

It is found that the V values, taken in the order of the records, are 186.8, 85.3 Å³/f.u..